## K3BRh (GGA-PBE)

Data for K3BRh after structural relaxation.

Output
Calculated formation energy: 1.3898 eV/atom
Energy relative to the lowest polymorph listed for this composition: 0 kJ/mol of formula units
Total magnetization: 1.00 Bohr magnetons per cell

Lattice parameters (Å, degrees): 5.868 5.868 5.868 90.00 90.00 90.00
Each line ends with the local moment (μB).
Element x y z (fractional)
B 0.000 0.000 0.000  0.69
K 0.000 0.500 0.000  0.05
K 0.000 0.000 0.500  0.04
K 0.500 0.000 0.000  0.05
Rh 0.500 0.500 0.500  -1.20